Material: CuReIN2
Method: DFT, PBE
State: optimized geometry

Lattice parameters (Å, degrees): 3.835 3.835 5.147 90.00 90.00 90.00
Space group P4/mmm (No. 123)
Unique sites:
Cu 0.000 0.000 0.000 (multiplicity 1)
Re 0.500 0.500 0.500 (multiplicity 1)
I 0.000 0.000 0.500 (multiplicity 1)
N 0.000 0.500 0.000 (multiplicity 2)

Computed properties:
The raw formation energy comes out at 2409 meV/atom. The value obtained for the density of states at the Fermi level is 4.727 states/eV/cell. The energy above the most stable polymorph in this dataset is 1765.0 meV per atom.



Material: Rb2Tl5Sb4
Method: DFT, PBE
State: optimized geometry

Lattice parameters (Å, degrees): 12.858 8.915 9.664 90.00 128.94 90.00
Space group C2/m (No. 12)
Unique sites:
Rb 0.116 0.000 0.325 (multiplicity 4)
Tl 0.000 0.500 0.000 (multiplicity 2)
Tl 0.179 0.203 0.726 (multiplicity 8)
Sb 0.017 0.500 0.358 (multiplicity 4)
Sb 0.237 0.000 0.055 (multiplicity 4)

Computed properties:
The raw formation energy comes out at -85 meV/atom. The value obtained for the density of states at the Fermi level is 5.924 states/eV/cell. The energy above the most stable polymorph in this dataset is 52.6 meV per atom.



Material: La3CePu2Se6
Method: DFT, PBE
State: optimized geometry

Lattice parameters (Å, degrees): 7.327 12.693 7.393 90.00 109.28 90.00
Space group C2/m (No. 12)
Unique sites:
La 0.000 0.000 0.000 (multiplicity 2)
La 0.000 0.334 0.000 (multiplicity 4)
Ce 0.000 0.500 0.500 (multiplicity 2)
Pu 0.000 0.167 0.500 (multiplicity 4)
Se 0.243 0.000 0.739 (multiplicity 4)
Se 0.248 0.332 0.740 (multiplicity 8)

Computed properties:
The raw formation energy comes out at -1816 meV/atom. The value obtained for the density of states at the Fermi level is 46.838 states/eV/cell.



Material: InCoCu2
Method: DFT, PBE
State: optimized geometry

Lattice parameters (Å, degrees): 3.635 3.635 18.315 90.00 90.00 90.00
Space group I-42d (No. 122)
Unique sites:
In 0.000 0.000 0.000 (multiplicity 4)
Co 0.000 0.000 0.500 (multiplicity 4)
Cu 0.230 0.250 0.625 (multiplicity 8)

Computed properties:
The value obtained for the density of states at the Fermi level is 25.330 states/eV/cell. The value obtained for the formation energy is 396 meV/atom.



Material: ZnIn2Ru
Method: DFT, PBE
State: optimized geometry

Lattice parameters (Å, degrees): 3.391 4.259 5.443 90.00 108.03 90.00
Space group Pm (No. 6)
Unique sites:
Zn 0.000 0.000 0.000 (multiplicity 1)
In 0.278 0.000 0.555 (multiplicity 1)
In 0.586 0.500 0.174 (multiplicity 1)
Ru 0.859 0.500 0.720 (multiplicity 1)

Computed properties:
The value obtained for the density of states at the Fermi level is 2.108 states/eV/cell. The value obtained for the formation energy is 29 meV/atom.



Material: KScSnRu2
Method: DFT, PBE
State: optimized geometry

Lattice parameters (Å, degrees): 5.030 5.030 5.363 90.00 90.00 90.00
Space group P4/mmm (No. 123)
Unique sites:
K 0.000 0.000 0.000 (multiplicity 1)
Sc 0.500 0.500 0.000 (multiplicity 1)
Sn 0.500 0.500 0.500 (multiplicity 1)
Ru 0.000 0.500 0.500 (multiplicity 2)

Computed properties:
The value obtained for the density of states at the Fermi level is 7.565 states/eV/cell. The value obtained for the formation energy is 1111 meV/atom.



Material: RbHfIrPb2
Method: DFT, PBE
State: optimized geometry

Lattice parameters (Å, degrees): 5.574 5.574 5.112 90.00 90.00 90.00
Space group P4/mmm (No. 123)
Unique sites:
Rb 0.000 0.000 0.000 (multiplicity 1)
Hf 0.500 0.500 0.000 (multiplicity 1)
Ir 0.500 0.500 0.500 (multiplicity 1)
Pb 0.000 0.500 0.500 (multiplicity 2)

Computed properties:
The value obtained for the density of states at the Fermi level is 4.446 states/eV/cell. The value obtained for the formation energy is 425 meV/atom.



Material: SmHoOsRh
Method: DFT, PBE
State: optimized geometry

Lattice parameters (Å, degrees): 6.891 6.891 6.891 90.00 90.00 90.00
Space group F-43m (No. 216)
Unique sites:
Sm 0.000 0.000 0.000 (multiplicity 4)
Ho 0.000 0.000 0.500 (multiplicity 4)
Os 0.250 0.250 0.750 (multiplicity 4)
Rh 0.250 0.250 0.250 (multiplicity 4)

Computed properties:
The value obtained for the density of states at the Fermi level is 13.530 states/eV/cell. The value obtained for the formation energy is -393 meV/atom.



Short version: total magnetization = 0.49; 0.00; 25.37; 2.05; 0.00; 1.11; 0.00; 0.00 μB per cell, in the order given.
Short version: E_tot = -4.54; -2.84; -7.67; -4.11; -3.98; -4.89; -5.01; -7.36 eV per atom, in the order given.